Here is an optimized crystal structure of Ga2Pt from Alexandria via LeMat-Bulk. Energies are from PBEsol.

The structure belongs to space group Fm-3m (No. 225); the cell edges are 5.912, 5.912 and 5.912 Å and the angles 90.00°, 90.00° and 90.00°. The asymmetric unit holds Ga at (0.250, 0.250, 0.250) and Pt at (0.000, 0.000, 0.000).

The energy of formation from the pure elements is -0.58 eV per atom. The density of states at the Fermi level comes out at 0.36 states/eV per atom. The size of the total moment is 0.00 Bohr magnetons per cell.